Entry 1:
# ErScPt

A relaxed structure of ErScPt (PBE, OQMD via LeMat-Bulk).

Properties
The calculation puts the formation energy at -0.21 eV/atom.

a b c (Å): 4.5721 4.5721 4.5721
angles (deg): 60.00 60.00 60.00
Fractional coordinates of all 3 atoms:
Pt1 0.7500 0.7500 0.7500
Sc1 0.0000 0.0000 0.0000
Er1 0.2500 0.2500 0.2500

Entry 2:
# Er7Pt2Se2

A relaxed structure of Er7Pt2Se2 (PBE, OQMD via LeMat-Bulk).

Properties
For the electronic total energy, the calculation gives -63.76 eV per cell.

a b c (Å): 9.0703 9.0703 9.0703
angles (deg): 155.40 67.56 118.19
Fractional coordinates of all 11 atoms:
Er1 0.6272 0.9455 0.6817
Er2 0.2637 0.9455 0.3183
Er3 0.6132 0.7358 0.8774
Pt1 0.0062 0.2449 0.7613
Er4 0.2192 0.5820 0.6372
Er5 0.9449 0.5820 0.3629
Se1 0.5806 0.0806 0.5000
Se2 0.9833 0.9833 0.0000
Er6 0.3250 0.3250 0.0000
Pt2 0.4837 0.2449 0.2387
Er7 0.8585 0.7358 0.1226

Entry 3:
# ErSi3Pt4

A relaxed structure of ErSi3Pt4 (PBE, OQMD via LeMat-Bulk).

Properties
For the electronic total energy, the calculation gives -50.88 eV per cell.

a b c (Å): 5.8399 3.7842 6.1422
angles (deg): 90.00 93.67 90.00
Fractional coordinates of all 8 atoms:
Pt1 0.1474 0.5000 0.9711
Si1 0.3667 0.0000 0.8424
Si2 0.5653 0.5000 0.1731
Si3 0.8908 0.5000 0.6502
Pt2 0.7111 0.0000 0.4642
Er1 0.1592 0.0000 0.3234
Pt3 0.7591 0.0000 0.9834
Pt4 0.4005 0.5000 0.5922

Entry 4:
# ErSi4Pt3

A relaxed structure of ErSi4Pt3 (PBE, OQMD via LeMat-Bulk).

Properties
For the electronic total energy, the calculation gives -49.33 eV per cell.

a b c (Å): 5.4393 3.8113 6.6034
angles (deg): 90.00 95.82 90.00
Fractional coordinates of all 8 atoms:
Pt1 0.5339 0.5000 0.1036
Si1 0.7881 0.0000 0.0431
Pt2 0.8133 0.5000 0.7544
Si2 0.0976 0.5000 0.0630
Pt3 0.1638 0.0000 0.2990
Si3 0.4690 0.5000 0.4571
Si4 0.8290 0.0000 0.5173
Er1 0.3053 0.0000 0.7626

Entry 5:
# ErTmSi2Pt4

A relaxed structure of ErTmSi2Pt4 (PBE, OQMD via LeMat-Bulk).

Properties
For the electronic total energy, the calculation gives -53.55 eV per cell.

a b c (Å): 7.0891 5.4235 5.4235
angles (deg): 41.44 90.00 90.00
Fractional coordinates of all 8 atoms:
Pt1 0.6997 0.1421 0.1421
Si1 0.5000 0.7314 0.7314
Pt2 0.3003 0.1421 0.1421
Tm1 0.5000 0.4492 0.4492
Pt3 0.2008 0.8577 0.8577
Pt4 0.7992 0.8577 0.8577
Er1 0.0000 0.5512 0.5512
Si2 0.0000 0.2687 0.2687

Entry 6:
# ErSnPt

A relaxed structure of ErSnPt (PBE, OQMD via LeMat-Bulk).

Properties
For the electronic total energy, the calculation gives -51.98 eV per cell.

a b c (Å): 7.0808 7.0808 4.4489
angles (deg): 90.00 90.00 120.00
Fractional coordinates of all 9 atoms:
Pt1 0.0000 0.2425 0.0000
Pt2 0.2425 0.0000 0.0000
Er1 0.0000 0.5637 0.5000
Pt3 0.7575 0.7575 0.0000
Sn1 0.3333 0.6667 0.0000
Sn2 0.6667 0.3333 0.0000
Er2 0.5637 0.0000 0.5000
Sn3 0.0000 0.0000 0.5000
Er3 0.4363 0.4363 0.5000